[1]
# PBE Na2PaHgO5, optimized geometry
data_Na2PaHgO5
_cell_length_a 4.319
_cell_length_b 4.319
_cell_length_c 8.337
_cell_angle_alpha 90.00
_cell_angle_beta 90.00
_cell_angle_gamma 90.00
_space_group_name_H-M_alt 'P 1'
_space_group_IT_number 1
loop_
_space_group_symop_operation_xyz
'x,y,z'
loop_
_atom_site_label
_atom_site_type_symbol
_atom_site_fract_x
_atom_site_fract_y
_atom_site_fract_z
Na1 Na 0.500 0.500 0.270
Na2 Na 0.500 0.500 0.730
Pa1 Pa 0.000 0.000 0.500
Hg1 Hg 0.000 0.000 0.000
O1 O 0.000 0.500 0.500
O2 O 0.500 0.000 0.500
O3 O 0.000 0.000 0.757
O4 O 0.000 0.000 0.243
O5 O 0.500 0.500 0.000
# V = 155.5 Å³ per cell
# raw formation energy = -1623 kJ/mol of formula units
# final energy = -6.01 eV per atom



[2]
# PBE NaPaHg2O6, optimized geometry
data_NaPaHg2O6
_cell_length_a 5.648
_cell_length_b 7.668
_cell_length_c 7.668
_cell_angle_alpha 71.74
_cell_angle_beta 80.96
_cell_angle_gamma 80.96
_space_group_name_H-M_alt 'P 1'
_space_group_IT_number 1
loop_
_space_group_symop_operation_xyz
'x,y,z'
loop_
_atom_site_label
_atom_site_type_symbol
_atom_site_fract_x
_atom_site_fract_y
_atom_site_fract_z
Na1 Na 0.250 0.914 0.086
Na2 Na 0.750 0.086 0.914
Pa1 Pa 0.250 0.345 0.655
Pa2 Pa 0.750 0.655 0.345
Hg1 Hg 0.148 0.843 0.631
Hg2 Hg 0.352 0.369 0.157
Hg3 Hg 0.852 0.157 0.369
Hg4 Hg 0.648 0.631 0.843
O1 O 0.176 0.033 0.761
O2 O 0.324 0.239 0.967
O3 O 0.824 0.967 0.239
O4 O 0.676 0.761 0.033
O5 O 0.456 0.869 0.352
O6 O 0.044 0.648 0.131
O7 O 0.544 0.131 0.648
O8 O 0.956 0.352 0.869
O9 O 0.024 0.649 0.541
O10 O 0.476 0.459 0.351
O11 O 0.976 0.351 0.459
O12 O 0.524 0.541 0.649
# V = 309.4 Å³ per cell
# raw formation energy = -1332 kJ/mol of formula units
# final energy = -5.50 eV per atom



[3]
# PBE Na2HgPbO, optimized geometry
data_Na2HgPbO
_cell_length_a 4.626
_cell_length_b 4.626
_cell_length_c 5.148
_cell_angle_alpha 90.00
_cell_angle_beta 90.00
_cell_angle_gamma 90.00
_space_group_name_H-M_alt 'P 1'
_space_group_IT_number 1
loop_
_space_group_symop_operation_xyz
'x,y,z'
loop_
_atom_site_label
_atom_site_type_symbol
_atom_site_fract_x
_atom_site_fract_y
_atom_site_fract_z
Pb1 Pb 0.000 0.000 0.500
Na1 Na 0.000 0.500 0.000
Na2 Na 0.500 0.000 0.000
Hg1 Hg 0.500 0.500 0.500
O1 O 0.000 0.000 0.000
# V = 110.2 Å³ per cell
# raw formation energy = -312 kJ/mol of formula units
# final energy = -2.97 eV per atom



[4]
# PBE NaHgPb2O, optimized geometry
data_NaHgPb2O
_cell_length_a 5.137
_cell_length_b 5.137
_cell_length_c 4.431
_cell_angle_alpha 90.00
_cell_angle_beta 90.00
_cell_angle_gamma 90.00
_space_group_name_H-M_alt 'P 1'
_space_group_IT_number 1
loop_
_space_group_symop_operation_xyz
'x,y,z'
loop_
_atom_site_label
_atom_site_type_symbol
_atom_site_fract_x
_atom_site_fract_y
_atom_site_fract_z
Pb1 Pb 0.000 0.500 0.000
Pb2 Pb 0.500 0.000 0.000
Na1 Na 0.000 0.000 0.500
Hg1 Hg 0.500 0.500 0.500
O1 O 0.000 0.000 0.000
# V = 116.9 Å³ per cell
# raw formation energy = -230 kJ/mol of formula units
# final energy = -3.28 eV per atom



[5]
# PBE Na2HgPbO4, optimized geometry
data_Na2HgPbO4
_cell_length_a 3.383
_cell_length_b 6.090
_cell_length_c 5.965
_cell_angle_alpha 111.57
_cell_angle_beta 90.00
_cell_angle_gamma 90.00
_space_group_name_H-M_alt 'P 1'
_space_group_IT_number 1
loop_
_space_group_symop_operation_xyz
'x,y,z'
loop_
_atom_site_label
_atom_site_type_symbol
_atom_site_fract_x
_atom_site_fract_y
_atom_site_fract_z
Na1 Na 0.500 0.000 0.500
Na2 Na 0.000 0.500 0.500
Hg1 Hg 0.000 0.000 0.000
Pb1 Pb 0.500 0.500 0.000
O1 O 0.500 0.272 0.214
O2 O 0.500 0.728 0.786
O3 O 0.000 0.279 0.766
O4 O 0.000 0.721 0.234
# V = 114.3 Å³ per cell
# raw formation energy = -794 kJ/mol of formula units
# final energy = -4.34 eV per atom



[6]
# PBE Na4HgPd3O8, optimized geometry
data_Na4HgPd3O8
_cell_length_a 6.337
_cell_length_b 6.175
_cell_length_c 7.043
_cell_angle_alpha 119.50
_cell_angle_beta 116.73
_cell_angle_gamma 90.00
_space_group_name_H-M_alt 'P 1'
_space_group_IT_number 1
loop_
_space_group_symop_operation_xyz
'x,y,z'
loop_
_atom_site_label
_atom_site_type_symbol
_atom_site_fract_x
_atom_site_fract_y
_atom_site_fract_z
Na1 Na 0.500 0.000 0.000
Na2 Na 0.500 0.000 0.500
Na3 Na 0.000 0.000 0.000
Na4 Na 0.000 0.000 0.500
Hg1 Hg 0.000 0.500 0.000
Pd1 Pd 0.500 0.500 0.000
Pd2 Pd 0.500 0.500 0.500
Pd3 Pd 0.000 0.500 0.500
O1 O 0.220 0.655 0.887
O2 O 0.263 0.731 0.527
O3 O 0.215 0.251 0.430
O4 O 0.667 0.655 0.887
O5 O 0.333 0.345 0.113
O6 O 0.785 0.749 0.570
O7 O 0.737 0.269 0.473
O8 O 0.780 0.345 0.113
# V = 205.4 Å³ per cell
# raw formation energy = -1326 kJ/mol of formula units
# final energy = -4.66 eV per atom



[7]
# PBE Na2HgPdO, optimized geometry
data_Na2HgPdO
_cell_length_a 4.682
_cell_length_b 4.682
_cell_length_c 4.199
_cell_angle_alpha 90.00
_cell_angle_beta 90.00
_cell_angle_gamma 90.00
_space_group_name_H-M_alt 'P 1'
_space_group_IT_number 1
loop_
_space_group_symop_operation_xyz
'x,y,z'
loop_
_atom_site_label
_atom_site_type_symbol
_atom_site_fract_x
_atom_site_fract_y
_atom_site_fract_z
O1 O 0.000 0.000 0.000
Na1 Na 0.000 0.500 0.000
Na2 Na 0.500 0.000 0.000
Hg1 Hg 0.500 0.500 0.500
Pd1 Pd 0.000 0.000 0.500
# V = 92.0 Å³ per cell
# raw formation energy = -282 kJ/mol of formula units
# final energy = -3.20 eV per atom



[8]
# PBE Na2HgPdO4, optimized geometry
data_Na2HgPdO4
_cell_length_a 3.205
_cell_length_b 6.207
_cell_length_c 5.847
_cell_angle_alpha 115.52
_cell_angle_beta 90.00
_cell_angle_gamma 90.00
_space_group_name_H-M_alt 'P 1'
_space_group_IT_number 1
loop_
_space_group_symop_operation_xyz
'x,y,z'
loop_
_atom_site_label
_atom_site_type_symbol
_atom_site_fract_x
_atom_site_fract_y
_atom_site_fract_z
Na1 Na 0.500 0.000 0.500
Na2 Na 0.000 0.500 0.500
Hg1 Hg 0.000 0.000 0.000
Pd1 Pd 0.500 0.500 0.000
O1 O 0.500 0.292 0.194
O2 O 0.500 0.708 0.806
O3 O 0.000 0.302 0.779
O4 O 0.000 0.698 0.221
# V = 105.0 Å³ per cell
# raw formation energy = -619 kJ/mol of formula units
# final energy = -4.30 eV per atom



[9]
# PBE Na6Hg2PdO, optimized geometry
data_Na6Hg2PdO
_cell_length_a 7.163
_cell_length_b 7.163
_cell_length_c 7.220
_cell_angle_alpha 120.33
_cell_angle_beta 120.34
_cell_angle_gamma 89.90
_space_group_name_H-M_alt 'P 1'
_space_group_IT_number 1
loop_
_space_group_symop_operation_xyz
'x,y,z'
loop_
_atom_site_label
_atom_site_type_symbol
_atom_site_fract_x
_atom_site_fract_y
_atom_site_fract_z
Na1 Na 0.773 0.774 0.997
Na2 Na 0.773 0.774 0.549
Na3 Na 0.226 0.227 0.003
Na4 Na 0.775 0.226 0.000
Na5 Na 0.226 0.227 0.450
Na6 Na 0.225 0.775 0.000
Hg1 Hg 0.752 0.250 0.501
Hg2 Hg 0.249 0.752 0.501
Pd1 Pd 0.500 0.500 0.999
O1 O 0.000 0.000 0.999
# V = 259.5 Å³ per cell
# raw formation energy = -381 kJ/mol of formula units
# final energy = -2.26 eV per atom



[10]
# PBE Na3HgPd3O8, optimized geometry
data_Na3HgPd3O8
_cell_length_a 6.227
_cell_length_b 6.908
_cell_length_c 6.171
_cell_angle_alpha 116.83
_cell_angle_beta 90.00
_cell_angle_gamma 116.79
_space_group_name_H-M_alt 'P 1'
_space_group_IT_number 1
loop_
_space_group_symop_operation_xyz
'x,y,z'
loop_
_atom_site_label
_atom_site_type_symbol
_atom_site_fract_x
_atom_site_fract_y
_atom_site_fract_z
Na1 Na 0.000 0.000 0.000
Na2 Na 0.000 0.500 0.000
Na3 Na 0.500 0.500 0.000
Hg1 Hg 0.000 0.000 0.500
Pd1 Pd 0.500 0.000 0.500
Pd2 Pd 0.500 0.500 0.500
Pd3 Pd 0.000 0.500 0.500
O1 O 0.218 0.436 0.255
O2 O 0.782 0.564 0.745
O3 O 0.754 0.508 0.287
O4 O 0.246 0.492 0.713
O5 O 0.785 0.120 0.348
O6 O 0.215 0.880 0.652
O7 O 0.335 0.120 0.348
O8 O 0.665 0.880 0.652
# V = 204.4 Å³ per cell
# raw formation energy = -1017 kJ/mol of formula units
# final energy = -4.67 eV per atom



[11]
# PBE NaPm2HgO5, optimized geometry
data_NaPm2HgO5
_cell_length_a 6.227
_cell_length_b 6.760
_cell_length_c 6.760
_cell_angle_alpha 90.00
_cell_angle_beta 90.00
_cell_angle_gamma 90.00
_space_group_name_H-M_alt 'P 1'
_space_group_IT_number 1
loop_
_space_group_symop_operation_xyz
'x,y,z'
loop_
_atom_site_label
_atom_site_type_symbol
_atom_site_fract_x
_atom_site_fract_y
_atom_site_fract_z
Na1 Na 0.000 0.500 0.500
Na2 Na 0.000 0.000 0.000
Pm1 Pm 0.500 0.675 0.175
Pm2 Pm 0.500 0.175 0.325
Pm3 Pm 0.500 0.825 0.675
Pm4 Pm 0.500 0.325 0.825
Hg1 Hg 0.000 0.000 0.500
Hg2 Hg 0.000 0.500 0.000
O1 O 0.500 0.500 0.500
O2 O 0.500 0.000 0.000
O3 O 0.266 0.141 0.641
O4 O 0.266 0.859 0.359
O5 O 0.266 0.359 0.141
O6 O 0.266 0.641 0.859
O7 O 0.734 0.141 0.641
O8 O 0.734 0.641 0.859
O9 O 0.734 0.859 0.359
O10 O 0.734 0.359 0.141
# V = 284.5 Å³ per cell
# raw formation energy = -1760 kJ/mol of formula units
# final energy = -6.02 eV per atom



[12]
# PBE NaPmHg2O4, optimized geometry
data_NaPmHg2O4
_cell_length_a 6.174
_cell_length_b 5.709
_cell_length_c 5.709
_cell_angle_alpha 74.12
_cell_angle_beta 57.26
_cell_angle_gamma 57.26
_space_group_name_H-M_alt 'P 1'
_space_group_IT_number 1
loop_
_space_group_symop_operation_xyz
'x,y,z'
loop_
_atom_site_label
_atom_site_type_symbol
_atom_site_fract_x
_atom_site_fract_y
_atom_site_fract_z
Na1 Na 0.000 0.000 0.000
Pm1 Pm 0.500 0.500 0.500
Hg1 Hg 0.240 0.260 0.260
Hg2 Hg 0.760 0.740 0.740
O1 O 0.523 0.119 0.411
O2 O 0.054 0.881 0.589
O3 O 0.946 0.411 0.119
O4 O 0.477 0.589 0.881
# V = 142.3 Å³ per cell
# raw formation energy = -1075 kJ/mol of formula units
# final energy = -4.71 eV per atom



[13]
# PBE Na3Hg2PtO6, optimized geometry
data_Na3Hg2PtO6
_cell_length_a 5.921
_cell_length_b 5.921
_cell_length_c 5.745
_cell_angle_alpha 101.41
_cell_angle_beta 101.41
_cell_angle_gamma 118.69
_space_group_name_H-M_alt 'P 1'
_space_group_IT_number 1
loop_
_space_group_symop_operation_xyz
'x,y,z'
loop_
_atom_site_label
_atom_site_type_symbol
_atom_site_fract_x
_atom_site_fract_y
_atom_site_fract_z
Na1 Na 0.167 0.833 0.500
Na2 Na 0.833 0.167 0.500
Na3 Na 0.500 0.500 0.500
Hg1 Hg 0.331 0.669 0.000
Hg2 Hg 0.669 0.331 0.000
Pt1 Pt 0.000 0.000 0.000
O1 O 0.933 0.648 0.775
O2 O 0.787 0.787 0.196
O3 O 0.067 0.352 0.225
O4 O 0.648 0.933 0.775
O5 O 0.213 0.213 0.804
O6 O 0.352 0.067 0.225
# V = 162.9 Å³ per cell
# raw formation energy = -983 kJ/mol of formula units
# final energy = -4.21 eV per atom



[14]
# PBE NaPuHgO4, optimized geometry
data_NaPuHgO4
_cell_length_a 7.037
_cell_length_b 6.804
_cell_length_c 6.690
_cell_angle_alpha 119.45
_cell_angle_beta 90.00
_cell_angle_gamma 121.14
_space_group_name_H-M_alt 'P 1'
_space_group_IT_number 1
loop_
_space_group_symop_operation_xyz
'x,y,z'
loop_
_atom_site_label
_atom_site_type_symbol
_atom_site_fract_x
_atom_site_fract_y
_atom_site_fract_z
Na1 Na 0.500 0.000 0.500
Na2 Na 0.500 0.000 0.000
Pu1 Pu 0.500 0.500 0.500
Pu2 Pu 0.000 0.500 0.500
Hg1 Hg 0.877 0.753 0.127
Hg2 Hg 0.123 0.247 0.873
O1 O 0.750 0.500 0.710
O2 O 0.306 0.091 0.296
O3 O 0.786 0.091 0.296
O4 O 0.750 0.500 0.289
O5 O 0.250 0.500 0.711
O6 O 0.694 0.909 0.704
O7 O 0.214 0.909 0.704
O8 O 0.250 0.500 0.290
# V = 224.4 Å³ per cell
# raw formation energy = -1242 kJ/mol of formula units
# final energy = -6.95 eV per atom



[15]
# PBE Na2PuHgO4, optimized geometry
data_Na2PuHgO4
_cell_length_a 3.393
_cell_length_b 8.931
_cell_length_c 6.525
_cell_angle_alpha 133.68
_cell_angle_beta 90.00
_cell_angle_gamma 90.00
_space_group_name_H-M_alt 'P 1'
_space_group_IT_number 1
loop_
_space_group_symop_operation_xyz
'x,y,z'
loop_
_atom_site_label
_atom_site_type_symbol
_atom_site_fract_x
_atom_site_fract_y
_atom_site_fract_z
Na1 Na 0.500 0.000 0.500
Na2 Na 0.000 0.500 0.500
Pu1 Pu 0.500 0.500 0.000
Hg1 Hg 0.000 0.000 0.000
O1 O 0.500 0.406 0.184
O2 O 0.500 0.594 0.816
O3 O 0.000 0.291 0.736
O4 O 0.000 0.709 0.264
# V = 143.0 Å³ per cell
# raw formation energy = -1456 kJ/mol of formula units
# final energy = -6.52 eV per atom



[16]
# PBE Na2PuHg2O6, optimized geometry
data_Na2PuHg2O6
_cell_length_a 5.712
_cell_length_b 5.712
_cell_length_c 6.487
_cell_angle_alpha 106.48
_cell_angle_beta 106.48
_cell_angle_gamma 112.55
_space_group_name_H-M_alt 'P 1'
_space_group_IT_number 1
loop_
_space_group_symop_operation_xyz
'x,y,z'
loop_
_atom_site_label
_atom_site_type_symbol
_atom_site_fract_x
_atom_site_fract_y
_atom_site_fract_z
Na1 Na 0.348 0.652 0.500
Na2 Na 0.652 0.348 0.500
Pu1 Pu 0.000 0.000 0.500
Hg1 Hg 0.812 0.188 0.000
Hg2 Hg 0.188 0.812 0.000
O1 O 0.837 0.837 0.727
O2 O 0.092 0.395 0.700
O3 O 0.163 0.163 0.273
O4 O 0.395 0.092 0.700
O5 O 0.908 0.605 0.300
O6 O 0.605 0.908 0.300
# V = 168.0 Å³ per cell
# raw formation energy = -1509 kJ/mol of formula units
# final energy = -5.72 eV per atom



[17]
# PBE Na2PuHgO5, optimized geometry
data_Na2PuHgO5
_cell_length_a 4.439
_cell_length_b 5.850
_cell_length_c 6.618
_cell_angle_alpha 116.23
_cell_angle_beta 109.59
_cell_angle_gamma 90.00
_space_group_name_H-M_alt 'P 1'
_space_group_IT_number 1
loop_
_space_group_symop_operation_xyz
'x,y,z'
loop_
_atom_site_label
_atom_site_type_symbol
_atom_site_fract_x
_atom_site_fract_y
_atom_site_fract_z
Na1 Na 0.223 0.223 0.446
Na2 Na 0.777 0.777 0.554
Pu1 Pu 0.500 0.000 0.000
Hg1 Hg 0.000 0.500 0.000
O1 O 0.629 0.906 0.257
O2 O 0.371 0.094 0.743
O3 O 0.371 0.649 0.743
O4 O 0.629 0.351 0.257
O5 O 0.000 0.000 0.000
# V = 143.0 Å³ per cell
# raw formation energy = -1476 kJ/mol of formula units
# final energy = -6.37 eV per atom



[18]
# PBE Na3PuHg2O6, optimized geometry
data_Na3PuHg2O6
_cell_length_a 6.265
_cell_length_b 6.265
_cell_length_c 5.680
_cell_angle_alpha 95.25
_cell_angle_beta 95.25
_cell_angle_gamma 124.51
_space_group_name_H-M_alt 'P 1'
_space_group_IT_number 1
loop_
_space_group_symop_operation_xyz
'x,y,z'
loop_
_atom_site_label
_atom_site_type_symbol
_atom_site_fract_x
_atom_site_fract_y
_atom_site_fract_z
Na1 Na 0.178 0.822 0.500
Na2 Na 0.822 0.178 0.500
Na3 Na 0.500 0.500 0.500
Pu1 Pu 0.000 0.000 0.000
Hg1 Hg 0.338 0.662 0.000
Hg2 Hg 0.662 0.338 0.000
O1 O 0.888 0.600 0.778
O2 O 0.837 0.837 0.264
O3 O 0.112 0.400 0.222
O4 O 0.600 0.888 0.778
O5 O 0.163 0.163 0.736
O6 O 0.400 0.112 0.222
# V = 180.1 Å³ per cell
# raw formation energy = -1778 kJ/mol of formula units
# final energy = -5.59 eV per atom



[19]
# PBE RbNa2HgO, optimized geometry
data_RbNa2HgO
_cell_length_a 4.848
_cell_length_b 4.848
_cell_length_c 5.730
_cell_angle_alpha 90.00
_cell_angle_beta 90.00
_cell_angle_gamma 90.00
_space_group_name_H-M_alt 'P 1'
_space_group_IT_number 1
loop_
_space_group_symop_operation_xyz
'x,y,z'
loop_
_atom_site_label
_atom_site_type_symbol
_atom_site_fract_x
_atom_site_fract_y
_atom_site_fract_z
O1 O 0.000 0.000 0.000
Na1 Na 0.000 0.500 0.000
Na2 Na 0.500 0.000 0.000
Hg1 Hg 0.500 0.500 0.500
Rb1 Rb 0.000 0.000 0.500
# V = 134.6 Å³ per cell
# raw formation energy = -305 kJ/mol of formula units
# final energy = -2.41 eV per atom



[20]
# PBE Rb2NaHgO, optimized geometry
data_Rb2NaHgO
_cell_length_a 5.948
_cell_length_b 5.948
_cell_length_c 4.549
_cell_angle_alpha 90.00
_cell_angle_beta 90.00
_cell_angle_gamma 90.00
_space_group_name_H-M_alt 'P 1'
_space_group_IT_number 1
loop_
_space_group_symop_operation_xyz
'x,y,z'
loop_
_atom_site_label
_atom_site_type_symbol
_atom_site_fract_x
_atom_site_fract_y
_atom_site_fract_z
O1 O 0.000 0.000 0.000
Na1 Na 0.000 0.000 0.500
Hg1 Hg 0.500 0.500 0.500
Rb1 Rb 0.000 0.500 0.000
Rb2 Rb 0.500 0.000 0.000
# V = 161.0 Å³ per cell
# raw formation energy = -303 kJ/mol of formula units
# final energy = -2.33 eV per atom